VASP calculation (PBE-GGA) on a relaxed KRbNbI6 crystal.

```
KRbNbI6
1.0
-2.421 -7.847 2.555
7.987 1.300 -2.912
4.316 2.954 13.159
I Rb Nb K
12 2 2 2
Direct
0.063 0.403 0.634
0.661 0.597 0.134
0.597 0.937 0.866
0.937 0.597 0.366
0.063 0.661 0.866
0.339 0.937 0.634
0.661 0.063 0.366
0.403 0.339 0.366
0.597 0.661 0.634
0.403 0.063 0.134
0.339 0.403 0.866
0.937 0.339 0.134
0.000 0.000 0.500
0.000 0.000 0.000
0.667 0.333 0.250
0.333 0.667 0.750
0.667 0.333 0.750
0.333 0.667 0.250
```

Mass density in g/cm³: 3.584
ΔE_f (raw) in eV/atom: -0.865
Space-group type: P-31c
Uncorrected energy in eV per atom: -3.247
Crystal system: trigonal

---

VASP calculation (PBE-GGA) on a relaxed KNbSbI2 crystal.

```
KNbSbI2
1.0
-1.017 -5.779 -0.523
3.757 -1.060 4.411
-4.041 0.391 3.536
Sb Nb K I
1 1 1 2
Direct
0.000 0.000 0.500
0.000 0.000 0.000
0.500 0.500 0.500
0.500 0.000 0.000
0.000 0.500 0.000
```

ΔE to the lowest computed polymorph in meV/atom: 0
Mass density in g/cm³: 4.512
ΔE_f (raw) in eV/atom: -0.262
Space-group type: P4/mmm
Uncorrected energy in eV per atom: -3.940
Crystal system: tetragonal

---

VASP calculation (PBE-GGA) on a relaxed KNbSbI2 crystal.

```
KNbSbI2
1.0
-4.149 -2.297 -3.953
4.241 0.060 -4.486
1.742 -5.848 1.570
I Nb K Sb
2 1 1 1
Direct
0.000 0.500 0.000
0.500 0.000 0.000
0.500 0.500 0.500
0.000 0.000 0.000
0.000 0.000 0.500
```

ΔE to the lowest computed polymorph in meV/atom: 1399
Mass density in g/cm³: 3.509
ΔE_f (raw) in eV/atom: 1.136
Space-group type: P4/mmm
Uncorrected energy in eV per atom: -2.542
Crystal system: tetragonal

---

VASP calculation (PBE-GGA) on a relaxed KTaNb2I crystal.

```
KTaNb2I
1.0
4.663 0.000 0.000
0.000 4.663 0.000
0.000 0.000 5.432
I Nb K Ta
1 2 1 1
Direct
0.000 0.000 0.500
0.500 0.000 0.000
0.000 0.500 0.000
0.000 0.000 0.000
0.500 0.500 0.500
```

Mass density in g/cm³: 7.490
ΔE_f (raw) in eV/atom: 2.847
Space-group type: P4/mmm
Uncorrected energy in eV per atom: -4.081
Crystal system: tetragonal

---

VASP calculation (PBE-GGA) on a relaxed KNbTl2I8 crystal.

```
KNbTl2I8
1.0
-0.533 7.766 1.954
-4.710 1.261 -5.585
-7.747 -2.085 5.884
I K Tl Nb
8 1 2 1
Direct
0.659 0.730 0.501
0.116 0.760 0.201
0.124 0.765 0.805
0.876 0.235 0.195
0.300 0.176 0.005
0.884 0.240 0.799
0.341 0.270 0.499
0.700 0.824 0.995
0.000 0.000 0.500
0.500 0.495 0.743
0.500 0.505 0.257
0.000 0.000 0.000
```

Mass density in g/cm³: 4.367
ΔE_f (raw) in eV/atom: -0.620
Space-group type: P-1
Uncorrected energy in eV per atom: -2.978
Crystal system: triclinic

---

VASP calculation (PBE-GGA) on a relaxed KNbTlI6 crystal.

```
KNbTlI6
1.0
8.334 0.000 0.000
-4.167 7.217 0.000
0.000 0.000 14.036
I Nb Tl K
12 2 2 2
Direct
0.055 0.393 0.634
0.337 0.393 0.866
0.945 0.337 0.134
0.607 0.945 0.866
0.945 0.607 0.366
0.393 0.055 0.134
0.607 0.663 0.634
0.663 0.055 0.366
0.055 0.663 0.866
0.663 0.607 0.134
0.337 0.945 0.634
0.393 0.337 0.366
0.333 0.667 0.750
0.667 0.333 0.250
0.333 0.667 0.250
0.667 0.333 0.750
0.000 0.000 0.000
0.000 0.000 0.500
```

Mass density in g/cm³: 4.319
ΔE_f (raw) in eV/atom: -0.689
Space-group type: P-31c
Uncorrected energy in eV per atom: -3.226
Crystal system: trigonal

---

In the order shown, the computed magnetic moment values come out to 2.0; 0.9; 1.0; 0.0; 0.0; 2.0 μB per cell.